A plane-wave DFT calculation with PBE-GGA was carried out for crystalline Sr2BeBr at its relaxed geometry.

As for the energy above the most stable polymorph in this dataset: 131 meV per atom. As for the crystal system: monoclinic. Its uncorrected formation energy is -0.344 eV/atom. The value obtained for the magnetic moment is 0.013 Bohr magnetons per cell.

The space group is Cm (No. 8) and the conventional cell measures 12.371, 3.862 and 5.267 Å, with angles of 90.00, 90.01 and 90.00 degrees. The distinct sites, in fractional coordinates, are Sr at (0.000, 0.000, 0.000), Sr at (0.249, 0.500, 0.499), Be at (0.487, 0.000, 0.501) and Br at (0.257, 0.000, 0.000).


A plane-wave DFT calculation with PBE-GGA was carried out for crystalline PuNiGeRu at its relaxed geometry.

As for the crystal system: cubic. The value obtained for the formation energy is -0.645 eV/f.u. The value obtained for the magnetic moment is 17.830 Bohr magnetons per cell.

The space group is F-43m (No. 216) and the conventional cell measures 6.388, 6.388 and 6.388 Å, with angles of 90.00, 90.00 and 90.00 degrees. The distinct sites, in fractional coordinates, are Pu at (0.000, 0.000, 0.000), Ni at (0.250, 0.250, 0.750), Ge at (0.000, 0.000, 0.500) and Ru at (0.250, 0.250, 0.250).


A plane-wave DFT calculation with PBE-GGA was carried out for crystalline LiZn2IO6 at its relaxed geometry.

As for the crystal system: trigonal. Its uncorrected formation energy is -1.031 eV/atom. The value obtained for the magnetic moment is 0.000 Bohr magnetons per cell.

The space group is R3 (No. 146, hexagonal axes) and the conventional cell measures 5.2463, 5.2463 and 14.1214 Å, with angles of 90.00, 90.00 and 120.00 degrees. The distinct sites, in fractional coordinates, are Li at (0.0000, 0.0000, 0.0000), Zn at (0.0000, 0.0000, 0.2234), Zn at (0.0000, 0.0000, 0.7351), I at (0.0000, 0.0000, 0.5251), O at (0.0025, 0.7142, 0.6093) and O at (0.0396, 0.3473, 0.1192).


A plane-wave DFT calculation with PBE-GGA was carried out for crystalline FeIrRu2 at its relaxed geometry.

As for the energy above the most stable polymorph in this dataset: 0 meV per atom. As for the crystal system: orthorhombic. The value obtained for the formation energy is 0.003 eV/f.u. The value obtained for the magnetic moment is 4.112 Bohr magnetons per cell.

The space group is Pnma (No. 62) and the conventional cell measures 4.668, 4.265 and 10.744 Å, with angles of 90.00, 90.00 and 90.00 degrees. The distinct sites, in fractional coordinates, are Fe at (0.076, 0.250, 0.060), Ir at (0.080, 0.250, 0.312), Ru at (0.084, 0.250, 0.820) and Ru at (0.095, 0.250, 0.560).


A plane-wave DFT calculation with PBE-GGA was carried out for crystalline SrBeHg at its relaxed geometry.

As for the energy above the most stable polymorph in this dataset: 0 meV per atom. As for the crystal system: hexagonal. The value obtained for the formation energy is -0.150 eV/f.u. The value obtained for the magnetic moment is 0.000 Bohr magnetons per cell.

The space group is P-6m2 (No. 187) and the conventional cell measures 4.3894, 4.3894 and 4.5272 Å, with angles of 90.00, 90.00 and 120.00 degrees. The distinct sites, in fractional coordinates, are Sr at (0.0000, 0.0000, 0.0000), Be at (0.6667, 0.3333, 0.5000) and Hg at (0.3333, 0.6667, 0.5000).


A plane-wave DFT calculation with PBE-GGA was carried out for crystalline KMgGa2Sb at its relaxed geometry.

As for the crystal system: tetragonal. Its uncorrected formation energy is 1.006 eV/atom. The value obtained for the magnetic moment is 0.000 Bohr magnetons per cell.

The space group is P4/mmm (No. 123) and the conventional cell measures 5.618, 5.618 and 5.701 Å, with angles of 90.00, 90.00 and 90.00 degrees. The distinct sites, in fractional coordinates, are K at (0.000, 0.000, 0.000), Mg at (0.000, 0.000, 0.500), Ga at (0.000, 0.500, 0.000) and Sb at (0.500, 0.500, 0.500).


A plane-wave DFT calculation with PBE-GGA was carried out for crystalline Al3Cr at its relaxed geometry.

As for the crystal system: hexagonal. The value obtained for the formation energy is 0.295 eV/f.u. The value obtained for the magnetic moment is 1.500 Bohr magnetons per cell.

The space group is P-6m2 (No. 187) and the conventional cell measures 2.8283, 2.8283 and 8.6778 Å, with angles of 90.00, 90.00 and 120.00 degrees. The distinct sites, in fractional coordinates, are Al at (0.0000, 0.0000, 0.0000), Al at (0.3333, 0.6667, 0.2690) and Cr at (0.0000, 0.0000, 0.5000).


A plane-wave DFT calculation with PBE-GGA was carried out for crystalline Pr4Dy8Er3 at its relaxed geometry.

As for the crystal system: monoclinic. The value obtained for the formation energy is 5.416 eV/f.u. The value obtained for the magnetic moment is 0.073 Bohr magnetons per cell.

The space group is C2/m (No. 12) and the conventional cell measures 13.453, 12.851 and 6.776 Å, with angles of 90.00, 119.99 and 90.00 degrees. The distinct sites, in fractional coordinates, are Pr at (0.000, 0.000, 0.000), Pr at (0.000, 0.000, 0.500), Pr at (0.250, 0.250, 0.000), Dy at (0.000, 0.256, 0.000), Dy at (0.000, 0.362, 0.500), Dy at (0.228, 0.500, 0.959), Dy at (0.232, 0.500, 0.485), Er at (0.000, 0.500, 0.000) and Er at (0.250, 0.250, 0.500).


A plane-wave DFT calculation with PBE-GGA was carried out for crystalline YZn2 at its relaxed geometry.

As for the crystal system: cubic. The value obtained for the formation energy is 1.005 eV/f.u. The value obtained for the magnetic moment is 0.000 Bohr magnetons per cell.

The space group is Pa-3 (No. 205) and the conventional cell measures 6.799, 6.799 and 6.799 Å, with angles of 90.00, 90.00 and 90.00 degrees. The distinct sites, in fractional coordinates, are Y at (0.000, 0.000, 0.000) and Zn at (0.103, 0.603, 0.897).


A plane-wave DFT calculation with PBE-GGA was carried out for crystalline ScRh4Br at its relaxed geometry.

As for the crystal system: cubic. Its uncorrected formation energy is 0.093 eV/atom. The value obtained for the magnetic moment is 4.364 Bohr magnetons per cell.

The space group is F-43m (No. 216) and the conventional cell measures 7.429, 7.429 and 7.429 Å, with angles of 90.00, 90.00 and 90.00 degrees. The distinct sites, in fractional coordinates, are Sc at (0.000, 0.000, 0.000), Rh at (0.126, 0.126, 0.374) and Br at (0.250, 0.250, 0.750).


A plane-wave DFT calculation with PBE-GGA was carried out for crystalline SiNiIr2 at its relaxed geometry.

As for the crystal system: monoclinic. Its uncorrected formation energy is -0.051 eV/atom. The value obtained for the magnetic moment is 0.001 Bohr magnetons per cell.

The space group is C2/m (No. 12) and the conventional cell measures 5.353, 8.591 and 2.731 Å, with angles of 90.00, 120.12 and 90.00 degrees. The distinct sites, in fractional coordinates, are Si at (0.000, 0.000, 0.000), Ni at (0.000, 0.500, 0.000) and Ir at (0.250, 0.250, 0.500).


A plane-wave DFT calculation with PBE-GGA was carried out for crystalline RbBSbTe2 at its relaxed geometry.

As for the energy above the most stable polymorph in this dataset: 1632 meV per atom. As for the crystal system: tetragonal. Its uncorrected formation energy is 2.003 eV/atom. The value obtained for the magnetic moment is 0.377 Bohr magnetons per cell.

The space group is P4/mmm (No. 123) and the conventional cell measures 6.317, 6.317 and 6.124 Å, with angles of 90.00, 90.00 and 90.00 degrees. The distinct sites, in fractional coordinates, are Rb at (0.000, 0.000, 0.000), B at (0.500, 0.500, 0.500), Sb at (0.000, 0.000, 0.500) and Te at (0.000, 0.500, 0.000).